Entry 1:
# AgIrSCl2

A relaxed AgIrSCl2 crystal (PBE, the Alexandria database).

## Properties
ΔE to the lowest computed polymorph = 0.000 eV per atom
SG = P4/mmm, No. 123
formation energy from raw total energies = 178 meV/atom
V = 113 Å³ per cell

abc: 5.075 5.075 4.402
angles: 90.00 90.00 90.00
Element x y z (fractional)
Ag 0.500 0.500 0.500
Cl 0.000 0.500 0.000
Cl 0.500 0.000 0.000
S 0.000 0.000 0.500
Ir 0.000 0.000 0.000

***

Entry 2:
# AgIrS2Cl

A relaxed AgIrS2Cl crystal (PBE, the Alexandria database).

## Properties
ΔE to the lowest computed polymorph = 0.000 eV per atom
SG = P4/mmm, No. 123
formation energy from raw total energies = 376 meV/atom
V = 108 Å³ per cell

abc: 4.603 4.603 5.083
angles: 90.00 90.00 90.00
Element x y z (fractional)
Cl 0.000 0.000 0.500
S 0.500 0.000 0.000
S 0.000 0.500 0.000
Ir 0.000 0.000 0.000
Ag 0.500 0.500 0.500

***

Entry 3:
# AgIrS2Cl

A relaxed AgIrS2Cl crystal (PBE, the Alexandria database).

## Properties
ΔE to the lowest computed polymorph = 1.053 eV per atom
SG = P4/mmm, No. 123
formation energy from raw total energies = 1429 meV/atom
V = 111 Å³ per cell

abc: 4.826 4.826 4.760
angles: 90.00 90.00 90.00
Element x y z (fractional)
Ir 0.500 0.500 0.500
S 0.500 0.000 0.000
S 0.000 0.500 0.000
Ag 0.000 0.000 0.000
Cl 0.000 0.000 0.500

***

Entry 4:
# ScAg2IrCl

A relaxed ScAg2IrCl crystal (PBE, the Alexandria database).

## Properties
SG = P4/mmm, No. 123
formation energy from raw total energies = 994 meV/atom
V = 120 Å³ per cell

abc: 5.164 4.491 5.164
angles: 90.00 90.00 90.00
Element x y z (fractional)
Sc 0.000 0.000 0.000
Ag 0.000 0.000 0.500
Ag 0.500 0.000 0.000
Cl 0.000 0.500 0.000
Ir 0.500 0.500 0.500